No. 1
The following is a DFT calculation (PBE) of Tb3TlHSe after structural relaxation.

The structure in extended XYZ format:
```
12
Lattice="4.101 0.000 0.000 0.000 8.394 0.334 0.000 -1.872 8.489" Properties=species:S:1:pos:R:3 pbc="T T T"
Tb 3.075 7.199 1.391
Tb 1.025 -0.678 7.432
Tb 1.025 6.053 4.258
Tb 3.075 0.469 4.564
Tb 3.075 3.190 1.716
Tb 1.025 3.332 7.106
Tl 1.025 0.904 2.166
Tl 3.075 5.618 6.657
H 1.025 -0.398 5.116
H 3.075 6.920 3.707
Se 1.025 5.183 1.501
Se 3.075 1.339 7.321
```

Summary:
Its total energy is -4.6988 eV/atom. The calculation puts the spin magnetization at 0.00 μB per formula unit.

***

No. 2
The following is a DFT calculation (PBE) of Tc2HSe2 after structural relaxation.

The structure in extended XYZ format:
```
5
Lattice="5.020 0.000 0.000 0.000 5.020 0.000 2.510 2.510 3.243" Properties=species:S:1:pos:R:3 pbc="T T T"
H 0.000 0.000 0.000
Tc 2.510 2.510 1.108
Tc 5.020 5.020 2.135
Se 5.020 2.510 1.621
Se 2.510 5.020 1.621
```

Summary:
As for the relative energy among the computed polymorphs: 0 meV per atom. The calculation puts the spin magnetization at 0.86 μB per formula unit.

***

No. 3
The following is a DFT calculation (PBE) of Tc2HSe2 after structural relaxation.

The structure in extended XYZ format:
```
10
Lattice="-3.048 -4.632 4.325 -0.530 -4.596 -5.296 2.772 -1.151 0.721" Properties=species:S:1:pos:R:3 pbc="T T T"
H 0.000 0.000 0.000
H -1.789 -4.614 -0.486
Tc -1.521 -5.537 -2.989
Tc -2.938 -6.925 0.243
Tc -2.057 -3.692 2.018
Tc -0.640 -2.303 -1.214
Se 0.585 -4.256 -2.433
Se -1.045 -7.493 -1.332
Se -1.391 -6.123 2.183
Se 0.239 -2.886 1.082
```

Summary:
As for the relative energy among the computed polymorphs: 185 meV per atom. The calculation puts the spin magnetization at 0.00 μB per formula unit.

***

No. 4
The following is a DFT calculation (PBE) of Tc2TeHSe after structural relaxation.

The structure in extended XYZ format:
```
5
Lattice="-4.280 0.344 -0.247 -0.265 -3.853 -0.779 -0.309 -0.829 4.208" Properties=species:S:1:pos:R:3 pbc="T T T"
H 0.000 0.000 0.000
Te -0.133 -1.927 -0.389
Tc -0.155 -0.415 2.104
Tc -2.140 0.172 -0.123
Se -2.427 -2.169 1.592
```

Summary:
Its total energy is -5.3662 eV/atom. The calculation puts the spin magnetization at 0.00 μB per formula unit.

***

No. 5
The following is a DFT calculation (PBE) of YTc2HSe after structural relaxation.

The structure in extended XYZ format:
```
5
Lattice="3.862 0.000 0.000 0.000 5.182 0.000 0.000 0.000 3.862" Properties=species:S:1:pos:R:3 pbc="T T T"
Y 1.931 2.591 1.931
H 0.000 0.000 0.000
Tc 0.000 0.000 1.931
Tc 1.931 0.000 0.000
Se 0.000 2.591 0.000
```

Summary:
Its total energy is -6.7683 eV/atom. The calculation puts the spin magnetization at 0.00 μB per formula unit.

***

No. 6
The following is a DFT calculation (PBE) of Te2HSe after structural relaxation.

The structure in extended XYZ format:
```
4
Lattice="0.000 3.506 3.506 3.506 0.000 3.506 3.506 3.506 0.000" Properties=species:S:1:pos:R:3 pbc="T T T"
H 0.000 0.000 0.000
Te 1.753 1.753 1.753
Te 5.260 5.260 5.260
Se 3.506 3.506 3.506
```

Summary:
As for the relative energy among the computed polymorphs: 362 meV per atom. The calculation puts the spin magnetization at 0.00 μB per formula unit.

***

No. 7
The following is a DFT calculation (PBE) of Te2HSe after structural relaxation.

The structure in extended XYZ format:
```
8
Lattice="6.388 0.000 0.000 0.000 6.388 0.000 3.194 3.194 4.576" Properties=species:S:1:pos:R:3 pbc="T T T"
H 3.194 3.194 0.000
H 3.194 6.388 2.288
Te 4.251 1.597 1.144
Te 2.137 4.791 1.144
Te 4.791 5.330 3.432
Te 7.984 7.445 3.432
Se 0.000 0.000 0.000
Se 6.388 3.194 2.288
```

Summary:
As for the relative energy among the computed polymorphs: 105 meV per atom. The calculation puts the spin magnetization at 0.00 μB per formula unit.

***

No. 8
The following is a DFT calculation (PBE) of TeH2Se after structural relaxation.

The structure in extended XYZ format:
```
8
Lattice="-0.561 -2.672 -5.001 -3.929 -3.441 2.279 -5.142 -0.454 -2.426" Properties=species:S:1:pos:R:3 pbc="T T T"
H -1.987 -1.546 -2.197
H -3.951 -3.266 -1.057
H -6.522 -3.493 -2.271
H -6.803 -4.829 -4.771
Te 0.000 0.000 0.000
Te -3.974 -3.091 -4.394
Se -2.245 -3.056 -1.361
Se -5.658 -3.476 -0.754
```

Summary:
As for the relative energy among the computed polymorphs: 287 meV per atom. The calculation puts the spin magnetization at 0.00 μB per formula unit.

***

No. 9
The following is a DFT calculation (PBE) of TeH2Se after structural relaxation.

The structure in extended XYZ format:
```
16
Lattice="-1.204 0.429 3.890 -6.906 -1.683 -1.952 2.186 -11.228 1.913" Properties=species:S:1:pos:R:3 pbc="T T T"
Te -6.298 -6.226 -0.198
Te 0.374 -6.257 4.050
Te -3.563 -1.701 0.150
Te -2.361 -10.782 3.702
H 0.864 -9.933 1.405
H -6.788 -2.550 2.447
H -1.062 -7.743 0.568
H -4.862 -4.741 3.284
H -1.907 -1.362 3.824
H -4.017 -11.121 0.028
H -2.835 -4.246 3.855
H -3.089 -8.237 -0.003
Se -2.305 -8.198 1.277
Se -3.619 -4.285 2.576
Se -5.383 -10.954 0.628
Se -0.541 -1.529 3.224
```

Summary:
As for the relative energy among the computed polymorphs: 0 meV per atom. The calculation puts the spin magnetization at 0.00 μB per formula unit.

***

No. 10
The following is a DFT calculation (PBE) of TeH2Se after structural relaxation.

The structure in extended XYZ format:
```
4
Lattice="-3.325 -2.410 0.912 -3.489 1.740 1.578 -3.480 0.239 -2.351" Properties=species:S:1:pos:R:3 pbc="T T T"
H -2.573 -0.108 0.035
H -7.720 -0.323 0.104
Te -5.147 -0.215 0.070
Se 0.000 0.000 0.000
```

Summary:
As for the relative energy among the computed polymorphs: 831 meV per atom. The calculation puts the spin magnetization at 0.00 μB per formula unit.

***

No. 11
The following is a DFT calculation (PBE) of Te2HSe after structural relaxation.

The structure in extended XYZ format:
```
4
Lattice="5.424 -6.230 1.193 4.790 -6.356 -2.513 7.287 -3.914 -1.114" Properties=species:S:1:pos:R:3 pbc="T T T"
H 0.000 0.000 0.000
Te 1.431 -1.349 -0.199
Te 16.070 -15.151 -2.234
Se 8.750 -8.250 -1.217
```

Summary:
As for the relative energy among the computed polymorphs: 0 meV per atom. The calculation puts the spin magnetization at 0.00 μB per formula unit.

***

No. 12
The following is a DFT calculation (PBE) of TeH2Se after structural relaxation.

The structure in extended XYZ format:
```
8
Lattice="8.545 3.050 0.000 -1.686 3.016 0.000 0.000 0.000 6.305" Properties=species:S:1:pos:R:3 pbc="T T T"
Te 0.050 0.030 1.576
Te 6.809 6.037 4.729
H 4.393 2.549 4.353
H 2.466 3.518 1.200
H 2.466 3.518 1.952
H 4.393 2.549 5.105
Se 5.994 3.605 1.576
Se 0.865 2.462 4.729
```

Summary:
As for the relative energy among the computed polymorphs: 88 meV per atom. The calculation puts the spin magnetization at 0.00 μB per formula unit.